The following is a DFT calculation (PBE) of an optimized crystal structure of Tl2H6N.

```
Tl2H6N
1.0
6.8072 -2.4556 0.0000
6.8072 2.4556 0.0000
-0.3514 0.0000 3.3659
Tl H N
2 6 1
Direct
0.1630 0.1630 0.3404 Tl
0.8370 0.8370 0.6596 Tl
0.2919 0.6044 0.8796 H
0.3054 0.3054 0.5327 H
0.3956 0.7081 0.1204 H
0.6044 0.2919 0.8796 H
0.6946 0.6946 0.4673 H
0.7081 0.3956 0.1204 H
0.5000 0.5000 0.0000 N
```

Values from the calculation:
M_tot	0.00	Bohr magnetons per cell
symmetry	C2/m
electronic total energy	-3.232	eV/atom


The following is a DFT calculation (PBE) of an optimized crystal structure of SrMg2W.

```
SrMg2W
1.0
3.4658 0.0000 0.0000
0.0000 3.4658 0.0000
0.0000 0.0000 8.0104
Sr Mg W
1 2 1
Direct
0.0000 0.0000 0.0000 Sr
0.5000 0.5000 0.3127 Mg
0.5000 0.5000 0.6873 Mg
0.0000 0.0000 0.5000 W
```

Values from the calculation:
M_tot	0.94	Bohr magnetons per cell
E above lowest polymorph	0.0935	eV/atom
symmetry	P4/mmm


The following is a DFT calculation (PBE) of an optimized crystal structure of PmPuGePd.

```
PmPuGePd
1.0
0.0000 3.6048 3.6048
3.6048 0.0000 3.6048
3.6048 3.6048 0.0000
Pm Pu Ge Pd
1 1 1 1
Direct
0.0000 0.0000 0.0000 Pm
0.5000 0.5000 0.5000 Pu
0.2500 0.2500 0.2500 Ge
0.7500 0.7500 0.7500 Pd
```

Values from the calculation:
M_tot	5.39	Bohr magnetons per cell
symmetry	F-43m
electronic total energy	-7.747	eV/atom


The following is a DFT calculation (PBE) of an optimized crystal structure of Tm12Tl6Cu.

```
Tm12Tl6Cu
1.0
6.5761 3.7967 4.0761
-6.5761 3.7967 4.0761
0.0000 -7.5934 4.0761
Tm Tl Cu
12 6 1
Direct
0.0382 0.9375 0.6902 Tm
0.0625 0.3098 0.9618 Tm
0.1833 0.5715 0.4336 Tm
0.3098 0.9618 0.0625 Tm
0.4285 0.5664 0.8167 Tm
0.4336 0.1833 0.5715 Tm
0.5664 0.8167 0.4285 Tm
0.5715 0.4336 0.1833 Tm
0.6902 0.0382 0.9375 Tm
0.8167 0.4285 0.5664 Tm
0.9375 0.6902 0.0382 Tm
0.9618 0.0625 0.3098 Tm
0.1329 0.3012 0.6215 Tl
0.3012 0.6215 0.1329 Tl
0.3785 0.8671 0.6988 Tl
0.6215 0.1329 0.3012 Tl
0.6988 0.3785 0.8671 Tl
0.8671 0.6988 0.3785 Tl
0.0000 0.0000 0.0000 Cu
```

Values from the calculation:
M_tot	0.00	Bohr magnetons per cell
symmetry	R-3
electronic total energy	-3.761	eV/atom


The following is a DFT calculation (PBE) of an optimized crystal structure of ZrGaOs.

```
ZrGaOs
1.0
2.1014 -6.1540 0.0000
2.1014 6.1540 0.0000
0.0000 0.0000 4.0935
Zr Ga Os
2 2 2
Direct
0.1493 0.8507 0.0000 Zr
0.8507 0.1493 0.0000 Zr
0.3627 0.6373 0.5000 Ga
0.6373 0.3627 0.5000 Ga
0.0000 0.0000 0.5000 Os
0.5000 0.5000 0.0000 Os
```

Values from the calculation:
M_tot	0.00	Bohr magnetons per cell
symmetry	Cmmm
electronic total energy	-7.972	eV/atom


The following is a DFT calculation (PBE) of an optimized crystal structure of TiRe3Bi.

```
TiRe3Bi
1.0
4.8975 0.0000 0.0000
0.0000 4.8975 0.0000
0.0000 0.0000 4.8975
Ti Re Bi
1 3 1
Direct
0.0000 0.0000 0.0000 Ti
0.0000 0.5000 0.5000 Re
0.5000 0.0000 0.5000 Re
0.5000 0.5000 0.0000 Re
0.5000 0.5000 0.5000 Bi
```

Values from the calculation:
M_tot	0.01	Bohr magnetons per cell
E above lowest polymorph	1.1356	eV/atom
symmetry	Pm-3m


The following is a DFT calculation (PBE) of an optimized crystal structure of MgSb2Cl.

```
MgSb2Cl
1.0
3.3654 0.0000 0.0000
0.0000 3.9444 0.0000
-0.3351 0.0000 7.9760
Mg Sb Cl
1 2 1
Direct
0.0000 0.0000 0.0000 Mg
0.4843 0.5000 0.7951 Sb
0.5157 0.5000 0.2049 Sb
0.5000 0.0000 0.5000 Cl
```

Values from the calculation:
M_tot	0.00	Bohr magnetons per cell
E above lowest polymorph	0.3502	eV/atom
E_form (uncorrected)	-185	meV/atom
symmetry	P2/m


The following is a DFT calculation (PBE) of an optimized crystal structure of HgSb2Se.

```
HgSb2Se
1.0
-3.0868 3.0868 7.3718
3.0868 -3.0868 7.3718
3.0868 3.0868 -7.3718
Hg Sb Se
2 4 2
Direct
0.0000 0.0000 0.0000 Hg
0.7500 0.2500 0.5000 Hg
0.1320 0.6250 0.0070 Sb
0.3750 0.3820 0.5070 Sb
0.6180 0.1250 0.9930 Sb
0.8750 0.8680 0.4930 Sb
0.2500 0.7500 0.5000 Se
0.5000 0.5000 0.0000 Se
```

Values from the calculation:
M_tot	0.00	Bohr magnetons per cell
E above lowest polymorph	0.2273	eV/atom
E_form (uncorrected)	224	meV/atom
symmetry	I-42d


What is the M_tot in the first record?
0.00 Bohr magnetons per cell


Please write out number 7 again, unchanged.
The following is a DFT calculation (PBE) of an optimized crystal structure of MgSb2Cl.

```
MgSb2Cl
1.0
3.3654 0.0000 0.0000
0.0000 3.9444 0.0000
-0.3351 0.0000 7.9760
Mg Sb Cl
1 2 1
Direct
0.0000 0.0000 0.0000 Mg
0.4843 0.5000 0.7951 Sb
0.5157 0.5000 0.2049 Sb
0.5000 0.0000 0.5000 Cl
```

Values from the calculation:
M_tot	0.00	Bohr magnetons per cell
E above lowest polymorph	0.3502	eV/atom
E_form (uncorrected)	-185	meV/atom
symmetry	P2/m